Entry 1:
Below is a geometry-optimized TbTm5Cu6 structure, with properties calculated at the PBE-GGA level.

**DOS(E_F)**: 0.4367 states/eV per atom
**DFT total energy**: -54.99 eV per formula unit
**SG**: P2/m, No. 10

```
data_TbTm5Cu6
_chemical_formula_sum 'Tb1 Tm5 Cu6'
_space_group_name_H-M_alt 'P 1'
_space_group_IT_number 1
_cell_length_a 4.863
_cell_length_b 6.808
_cell_length_c 7.699
_cell_angle_alpha 90.00
_cell_angle_beta 71.48
_cell_angle_gamma 90.00
loop_
_space_group_symop_operation_xyz
'x,y,z'
loop_
_atom_site_label
_atom_site_fract_x
_atom_site_fract_y
_atom_site_fract_z
_atom_site_occupancy
Tm1 0.666 0.500 0.668 1
Tm2 0.332 0.000 0.335 1
Tm3 0.000 0.500 0.000 1
Tm4 0.668 0.000 0.665 1
Tm5 0.334 0.500 0.332 1
Tb1 0.000 0.000 0.000 1
Cu1 0.830 0.748 0.337 1
Cu2 0.830 0.252 0.337 1
Cu3 0.500 0.255 0.000 1
Cu4 0.500 0.745 0.000 1
Cu5 0.170 0.748 0.663 1
Cu6 0.170 0.252 0.663 1
```

=====

Entry 2:
Below is a geometry-optimized CaYTlSi2 structure, with properties calculated at the PBE-GGA level.

**Raw formation energy**: 750 meV per atom
**DOS(E_F)**: 0.7049 states/eV per atom
**DFT total energy**: -17.93 eV per formula unit
**SG**: P4/mmm, No. 123

```
data_CaYTlSi2
_chemical_formula_sum 'Ca1 Y1 Tl1 Si2'
_space_group_name_H-M_alt 'P 1'
_space_group_IT_number 1
_cell_length_a 5.312
_cell_length_b 5.642
_cell_length_c 5.312
_cell_angle_alpha 90.00
_cell_angle_beta 90.00
_cell_angle_gamma 90.00
loop_
_space_group_symop_operation_xyz
'x,y,z'
loop_
_atom_site_label
_atom_site_fract_x
_atom_site_fract_y
_atom_site_fract_z
_atom_site_occupancy
Y1 0.000 0.500 0.000 1
Tl1 0.000 0.000 0.000 1
Si1 0.000 0.000 0.500 1
Si2 0.500 0.000 0.000 1
Ca1 0.500 0.500 0.500 1
```

=====

Entry 3:
Below is a geometry-optimized MgCrC3 structure, with properties calculated at the PBE-GGA level.

**DOS(E_F)**: 0.4642 states/eV per atom
**DFT total energy**: -32.11 eV per formula unit
**SG**: Pm-3m, No. 221

```
data_MgCrC3
_chemical_formula_sum 'Mg1 Cr1 C3'
_space_group_name_H-M_alt 'P 1'
_space_group_IT_number 1
_cell_length_a 3.812
_cell_length_b 3.812
_cell_length_c 3.812
_cell_angle_alpha 90.00
_cell_angle_beta 90.00
_cell_angle_gamma 90.00
loop_
_space_group_symop_operation_xyz
'x,y,z'
loop_
_atom_site_label
_atom_site_fract_x
_atom_site_fract_y
_atom_site_fract_z
_atom_site_occupancy
Cr1 0.000 0.000 0.000 1
Mg1 0.500 0.500 0.500 1
C1 0.000 0.500 0.000 1
C2 0.000 0.000 0.500 1
C3 0.500 0.000 0.000 1
```

=====

Entry 4:
Below is a geometry-optimized CuSn2F8 structure, with properties calculated at the PBE-GGA level.

**Raw formation energy**: -2095 meV per atom
**DOS(E_F)**: 0.2039 states/eV per atom
**DFT total energy**: -50.12 eV per formula unit
**SG**: C2/m, No. 12

```
data_CuSn2F8
_chemical_formula_sum 'Cu1 Sn2 F8'
_space_group_name_H-M_alt 'P 1'
_space_group_IT_number 1
_cell_length_a 5.196
_cell_length_b 5.679
_cell_length_c 5.679
_cell_angle_alpha 75.06
_cell_angle_beta 100.56
_cell_angle_gamma 100.56
loop_
_space_group_symop_operation_xyz
'x,y,z'
loop_
_atom_site_label
_atom_site_fract_x
_atom_site_fract_y
_atom_site_fract_z
_atom_site_occupancy
Cu1 0.000 0.000 0.000 1
Sn1 0.567 0.314 0.314 1
Sn2 0.433 0.686 0.686 1
F1 0.696 0.049 0.659 1
F2 0.304 0.341 0.951 1
F3 0.809 0.162 0.162 1
F4 0.191 0.838 0.838 1
F5 0.696 0.659 0.049 1
F6 0.304 0.951 0.341 1
F7 0.257 0.437 0.437 1
F8 0.743 0.563 0.563 1
```

=====

Entry 5:
Below is a geometry-optimized Y2CrIrN structure, with properties calculated at the PBE-GGA level.

**Raw formation energy**: -769 meV per atom
**DOS(E_F)**: 0.6507 states/eV per atom
**DFT total energy**: -43.58 eV per formula unit
**SG**: P4/mmm, No. 123

```
data_Y2CrIrN
_chemical_formula_sum 'Y2 Cr1 Ir1 N1'
_space_group_name_H-M_alt 'P 1'
_space_group_IT_number 1
_cell_length_a 4.850
_cell_length_b 4.850
_cell_length_c 3.728
_cell_angle_alpha 90.00
_cell_angle_beta 90.00
_cell_angle_gamma 90.00
loop_
_space_group_symop_operation_xyz
'x,y,z'
loop_
_atom_site_label
_atom_site_fract_x
_atom_site_fract_y
_atom_site_fract_z
_atom_site_occupancy
Y1 0.000 0.500 0.000 1
Y2 0.500 0.000 0.000 1
Cr1 0.000 0.000 0.500 1
Ir1 0.500 0.500 0.500 1
N1 0.000 0.000 0.000 1
```

=====

Entry 6:
Below is a geometry-optimized LaTbNd2Hg4 structure, with properties calculated at the PBE-GGA level.

**DOS(E_F)**: 1.1392 states/eV per atom
**DFT total energy**: -24.10 eV per formula unit
**SG**: R-3m, No. 166

```
data_LaTbNd2Hg4
_chemical_formula_sum 'La1 Tb1 Nd2 Hg4'
_space_group_name_H-M_alt 'P 1'
_space_group_IT_number 1
_cell_length_a 5.408
_cell_length_b 5.408
_cell_length_c 9.420
_cell_angle_alpha 73.32
_cell_angle_beta 73.32
_cell_angle_gamma 60.00
loop_
_space_group_symop_operation_xyz
'x,y,z'
loop_
_atom_site_label
_atom_site_fract_x
_atom_site_fract_y
_atom_site_fract_z
_atom_site_occupancy
La1 0.000 0.000 0.000 1
Tb1 0.500 0.500 0.500 1
Nd1 0.750 0.750 0.749 1
Nd2 0.250 0.250 0.251 1
Hg1 0.378 0.378 0.865 1
Hg2 0.872 0.872 0.383 1
Hg3 0.128 0.128 0.617 1
Hg4 0.622 0.622 0.135 1
```

=====

Entry 7:
Below is a geometry-optimized PdI3F structure, with properties calculated at the PBE-GGA level.

**Raw formation energy**: 59 meV per atom
**DOS(E_F)**: 1.8625 states/eV per atom
**DFT total energy**: -11.42 eV per formula unit
**SG**: Pm-3m, No. 221

```
data_PdI3F
_chemical_formula_sum 'Pd1 I3 F1'
_space_group_name_H-M_alt 'P 1'
_space_group_IT_number 1
_cell_length_a 5.429
_cell_length_b 5.429
_cell_length_c 5.429
_cell_angle_alpha 90.00
_cell_angle_beta 90.00
_cell_angle_gamma 90.00
loop_
_space_group_symop_operation_xyz
'x,y,z'
loop_
_atom_site_label
_atom_site_fract_x
_atom_site_fract_y
_atom_site_fract_z
_atom_site_occupancy
I1 0.000 0.500 0.000 1
I2 0.000 0.000 0.500 1
I3 0.500 0.000 0.000 1
Pd1 0.000 0.000 0.000 1
F1 0.500 0.500 0.500 1
```

=====

Entry 8:
Below is a geometry-optimized NaTbC2O6 structure, with properties calculated at the PBE-GGA level.

**Raw formation energy**: -2116 meV per atom
**DOS(E_F)**: 0.0000 states/eV per atom
**DFT total energy**: -75.31 eV per formula unit
**SG**: C2/c, No. 15

```
data_NaTbC2O6
_chemical_formula_sum 'Na2 Tb2 C4 O12'
_space_group_name_H-M_alt 'P 1'
_space_group_IT_number 1
_cell_length_a 6.315
_cell_length_b 6.315
_cell_length_c 6.996
_cell_angle_alpha 99.97
_cell_angle_beta 99.97
_cell_angle_gamma 106.45
loop_
_space_group_symop_operation_xyz
'x,y,z'
loop_
_atom_site_label
_atom_site_fract_x
_atom_site_fract_y
_atom_site_fract_z
_atom_site_occupancy
Na1 0.100 0.900 0.250 1
Na2 0.900 0.100 0.750 1
Tb1 0.580 0.420 0.250 1
Tb2 0.420 0.580 0.750 1
C1 0.414 0.125 0.757 1
C2 0.875 0.586 0.743 1
C3 0.586 0.875 0.243 1
C4 0.125 0.414 0.257 1
O1 0.949 0.478 0.241 1
O2 0.522 0.051 0.259 1
O3 0.051 0.522 0.759 1
O4 0.478 0.949 0.741 1
O5 0.148 0.252 0.131 1
O6 0.748 0.852 0.369 1
O7 0.852 0.748 0.869 1
O8 0.252 0.148 0.631 1
O9 0.303 0.525 0.407 1
O10 0.475 0.697 0.093 1
O11 0.697 0.475 0.593 1
O12 0.525 0.303 0.907 1
```

=====

Entry 9:
Below is a geometry-optimized NaLiTi3O7 structure, with properties calculated at the PBE-GGA level.

**Raw formation energy**: -2799 meV per atom
**DOS(E_F)**: 0.0000 states/eV per atom
**DFT total energy**: -95.22 eV per formula unit
**SG**: Fmmm, No. 69

```
data_NaLiTi3O7
_chemical_formula_sum 'Na2 Li2 Ti6 O14'
_space_group_name_H-M_alt 'P 1'
_space_group_IT_number 1
_cell_length_a 5.763
_cell_length_b 6.363
_cell_length_c 8.801
_cell_angle_alpha 81.47
_cell_angle_beta 70.89
_cell_angle_gamma 63.07
loop_
_space_group_symop_operation_xyz
'x,y,z'
loop_
_atom_site_label
_atom_site_fract_x
_atom_site_fract_y
_atom_site_fract_z
_atom_site_occupancy
Na1 0.131 0.738 0.500 1
Na2 0.869 0.262 0.500 1
Li1 0.184 0.000 0.132 1
Li2 0.816 0.000 0.868 1
Ti1 0.750 0.500 0.000 1
Ti2 0.250 0.500 0.000 1
Ti3 0.482 0.254 0.282 1
Ti4 0.736 0.746 0.282 1
Ti5 0.518 0.746 0.718 1
Ti6 0.264 0.254 0.718 1
O1 0.398 0.731 0.972 1
O2 0.130 0.269 0.972 1
O3 0.602 0.269 0.028 1
O4 0.870 0.731 0.028 1
O5 0.632 0.500 0.237 1
O6 0.132 0.500 0.237 1
O7 0.368 0.500 0.763 1
O8 0.868 0.500 0.763 1
O9 0.830 0.000 0.287 1
O10 0.383 0.000 0.287 1
O11 0.170 0.000 0.713 1
O12 0.617 0.000 0.713 1
O13 0.335 0.331 0.500 1
O14 0.665 0.669 0.500 1
```

=====

Entry 10:
Below is a geometry-optimized Cu2SbAs structure, with properties calculated at the PBE-GGA level.

**Raw formation energy**: 273 meV per atom
**DOS(E_F)**: 0.4445 states/eV per atom
**DFT total energy**: -15.87 eV per formula unit
**SG**: Cmmm, No. 65

```
data_Cu2SbAs
_chemical_formula_sum 'Cu2 Sb1 As1'
_space_group_name_H-M_alt 'P 1'
_space_group_IT_number 1
_cell_length_a 3.083
_cell_length_b 3.083
_cell_length_c 7.491
_cell_angle_alpha 90.00
_cell_angle_beta 90.00
_cell_angle_gamma 97.37
loop_
_space_group_symop_operation_xyz
'x,y,z'
loop_
_atom_site_label
_atom_site_fract_x
_atom_site_fract_y
_atom_site_fract_z
_atom_site_occupancy
As1 0.500 0.500 0.750 1
Cu1 0.000 0.000 0.967 1
Cu2 0.000 0.000 0.533 1
Sb1 0.500 0.500 0.250 1
```

=====

Entry 11:
Below is a geometry-optimized CdNiRh3 structure, with properties calculated at the PBE-GGA level.

**DOS(E_F)**: 1.8612 states/eV per atom
**DFT total energy**: -24.42 eV per formula unit
**SG**: Pm-3m, No. 221

```
data_CdNiRh3
_chemical_formula_sum 'Cd1 Ni1 Rh3'
_space_group_name_H-M_alt 'P 1'
_space_group_IT_number 1
_cell_length_a 4.510
_cell_length_b 4.510
_cell_length_c 4.510
_cell_angle_alpha 90.00
_cell_angle_beta 90.00
_cell_angle_gamma 90.00
loop_
_space_group_symop_operation_xyz
'x,y,z'
loop_
_atom_site_label
_atom_site_fract_x
_atom_site_fract_y
_atom_site_fract_z
_atom_site_occupancy
Ni1 0.000 0.000 0.000 1
Rh1 0.000 0.500 0.000 1
Rh2 0.000 0.000 0.500 1
Rh3 0.500 0.000 0.000 1
Cd1 0.500 0.500 0.500 1
```

=====

Entry 12:
Below is a geometry-optimized Ca4Bi8Pd3 structure, with properties calculated at the PBE-GGA level.

**DOS(E_F)**: 0.6173 states/eV per atom
**DFT total energy**: -62.55 eV per formula unit
**SG**: P-4m2, No. 115

```
data_Ca4Bi8Pd3
_chemical_formula_sum 'Ca4 Bi8 Pd3'
_space_group_name_H-M_alt 'P 1'
_space_group_IT_number 1
_cell_length_a 4.683
_cell_length_b 4.683
_cell_length_c 19.172
_cell_angle_alpha 90.00
_cell_angle_beta 90.00
_cell_angle_gamma 90.00
loop_
_space_group_symop_operation_xyz
'x,y,z'
loop_
_atom_site_label
_atom_site_fract_x
_atom_site_fract_y
_atom_site_fract_z
_atom_site_occupancy
Ca1 0.500 0.000 0.385 1
Ca2 0.500 0.000 0.891 1
Ca3 0.000 0.500 0.109 1
Ca4 0.000 0.500 0.615 1
Bi1 0.500 0.000 0.076 1
Bi2 0.500 0.000 0.583 1
Bi3 0.000 0.500 0.417 1
Bi4 0.000 0.500 0.924 1
Bi5 0.500 0.500 0.242 1
Bi6 0.500 0.500 0.758 1
Bi7 0.000 0.000 0.250 1
Bi8 0.000 0.000 0.750 1
Pd1 0.500 0.500 0.500 1
Pd2 0.000 0.000 0.000 1
Pd3 0.000 0.000 0.500 1
```

=====

The records above yield spin magnetization values of 0.0; 0.0; 0.0; 0.0; 1.9; 1.6; 0.9; 0.0; 0.0; 0.0; 3.5; 0.0 μB/f.u., respectively.